(1)
Density functional theory data (meta-GGA SCAN) for a PBEsol-optimized structure of La3Zn4Pd4.

Output
E_tot   -29.342 eV per atom
Crystal system   orthorhombic

a b c (Å): 8.2556 8.2556 8.2556
angles (deg): 150.69 127.40 61.35
Sites, in units of the cell vectors:
La (0.0000, 0.0000, 0.0000)
La (0.3713, 0.8713, 0.5000)
La (0.6287, 0.1287, 0.5000)
Zn (0.0174, 0.3263, 0.6911)
Zn (0.3649, 0.6737, 0.6911)
Zn (0.6351, 0.3263, 0.3089)
Zn (0.9826, 0.6737, 0.3089)
Pd (0.2162, 0.2162, 0.0000)
Pd (0.3040, 0.5000, 0.8040)
Pd (0.6960, 0.5000, 0.1960)
Pd (0.7838, 0.7838, 0.0000)

(2)
Density functional theory data (meta-GGA SCAN) for a PBEsol-optimized structure of LaPm3.

Output
E_tot   -43.748 eV per atom
Crystal system   tetragonal

a b c (Å): 5.0821 5.0821 10.1543
angles (deg): 90.00 90.00 90.00
Sites, in units of the cell vectors:
La (0.0000, 0.0000, 0.0000)
La (0.5000, 0.5000, 0.5000)
Pm (0.0000, 0.0000, 0.5000)
Pm (0.0000, 0.5000, 0.2500)
Pm (0.0000, 0.5000, 0.7500)
Pm (0.5000, 0.0000, 0.2500)
Pm (0.5000, 0.0000, 0.7500)
Pm (0.5000, 0.5000, 0.0000)

(3)
Density functional theory data (meta-GGA SCAN) for a PBEsol-optimized structure of LaPm3.

Output
E_tot   -43.736 eV per atom
Crystal system   hexagonal

a b c (Å): 7.2219 7.2219 5.8489
angles (deg): 90.00 90.00 120.00
Sites, in units of the cell vectors:
La (0.3333, 0.6667, 0.2500)
La (0.6667, 0.3333, 0.7500)
Pm (0.1659, 0.3318, 0.7500)
Pm (0.1659, 0.8341, 0.7500)
Pm (0.3318, 0.1659, 0.2500)
Pm (0.6682, 0.8341, 0.7500)
Pm (0.8341, 0.1659, 0.2500)
Pm (0.8341, 0.6682, 0.2500)

(4)
Density functional theory data (meta-GGA SCAN) for a PBEsol-optimized structure of LaPmRu2.

Output
E_tot   -39.314 eV per atom
Crystal system   cubic

a b c (Å): 6.9229 6.9229 6.9229
angles (deg): 90.00 90.00 90.00
Sites, in units of the cell vectors:
La (0.0000, 0.0000, 0.0000)
La (0.0000, 0.5000, 0.5000)
La (0.5000, 0.0000, 0.5000)
La (0.5000, 0.5000, 0.0000)
Pm (0.0000, 0.0000, 0.5000)
Pm (0.0000, 0.5000, 0.0000)
Pm (0.5000, 0.0000, 0.0000)
Pm (0.5000, 0.5000, 0.5000)
Ru (0.2500, 0.2500, 0.2500)
Ru (0.2500, 0.2500, 0.7500)
Ru (0.2500, 0.7500, 0.2500)
Ru (0.2500, 0.7500, 0.7500)
Ru (0.7500, 0.2500, 0.2500)
Ru (0.7500, 0.2500, 0.7500)
Ru (0.7500, 0.7500, 0.2500)
Ru (0.7500, 0.7500, 0.7500)

(5)
Density functional theory data (meta-GGA SCAN) for a PBEsol-optimized structure of LaPmTl2.

Output
E_tot   -58.571 eV per atom
Crystal system   cubic

a b c (Å): 7.7221 7.7221 7.7221
angles (deg): 90.00 90.00 90.00
Sites, in units of the cell vectors:
La (0.0000, 0.0000, 0.0000)
La (0.0000, 0.5000, 0.5000)
La (0.5000, 0.0000, 0.5000)
La (0.5000, 0.5000, 0.0000)
Pm (0.0000, 0.0000, 0.5000)
Pm (0.0000, 0.5000, 0.0000)
Pm (0.5000, 0.0000, 0.0000)
Pm (0.5000, 0.5000, 0.5000)
Tl (0.2500, 0.2500, 0.2500)
Tl (0.2500, 0.2500, 0.7500)
Tl (0.2500, 0.7500, 0.2500)
Tl (0.2500, 0.7500, 0.7500)
Tl (0.7500, 0.2500, 0.2500)
Tl (0.7500, 0.2500, 0.7500)
Tl (0.7500, 0.7500, 0.2500)
Tl (0.7500, 0.7500, 0.7500)

(6)
Density functional theory data (meta-GGA SCAN) for a PBEsol-optimized structure of LaPmZn2.

Output
E_tot   -28.902 eV per atom
Crystal system   cubic

a b c (Å): 7.2785 7.2785 7.2785
angles (deg): 90.00 90.00 90.00
Sites, in units of the cell vectors:
La (0.0000, 0.0000, 0.0000)
La (0.0000, 0.5000, 0.5000)
La (0.5000, 0.0000, 0.5000)
La (0.5000, 0.5000, 0.0000)
Pm (0.0000, 0.0000, 0.5000)
Pm (0.0000, 0.5000, 0.0000)
Pm (0.5000, 0.0000, 0.0000)
Pm (0.5000, 0.5000, 0.5000)
Zn (0.2500, 0.2500, 0.2500)
Zn (0.2500, 0.2500, 0.7500)
Zn (0.2500, 0.7500, 0.2500)
Zn (0.2500, 0.7500, 0.7500)
Zn (0.7500, 0.2500, 0.2500)
Zn (0.7500, 0.2500, 0.7500)
Zn (0.7500, 0.7500, 0.2500)
Zn (0.7500, 0.7500, 0.7500)

(7)
Density functional theory data (meta-GGA SCAN) for a PBEsol-optimized structure of LaPt2.

Output
E_tot   -62.101 eV per atom
Crystal system   orthorhombic

a b c (Å): 4.1059 13.5831 4.2748
angles (deg): 90.00 90.00 90.00
Sites, in units of the cell vectors:
La (0.0000, 0.0979, 0.2500)
La (0.0000, 0.9021, 0.7500)
La (0.5000, 0.4021, 0.7500)
La (0.5000, 0.5979, 0.2500)
Pt (0.0000, 0.2468, 0.7500)
Pt (0.0000, 0.4118, 0.2500)
Pt (0.0000, 0.5882, 0.7500)
Pt (0.0000, 0.7532, 0.2500)
Pt (0.5000, 0.0882, 0.7500)
Pt (0.5000, 0.2532, 0.2500)
Pt (0.5000, 0.7468, 0.7500)
Pt (0.5000, 0.9118, 0.2500)

(8)
Density functional theory data (meta-GGA SCAN) for a PBEsol-optimized structure of La3Pt4.

Output
E_tot   -59.894 eV per atom
Crystal system   trigonal

a b c (Å): 8.1405 8.1405 8.1405
angles (deg): 114.59 114.59 114.59
Sites, in units of the cell vectors:
La (0.0316, 0.2844, 0.4071)
La (0.2844, 0.4071, 0.0316)
La (0.4071, 0.0316, 0.2844)
La (0.5929, 0.9684, 0.7156)
La (0.7156, 0.5929, 0.9684)
La (0.9684, 0.7156, 0.5929)
Pt (0.0000, 0.0000, 0.0000)
Pt (0.0560, 0.5544, 0.2201)
Pt (0.2201, 0.0560, 0.5544)
Pt (0.4456, 0.7799, 0.9440)
Pt (0.5000, 0.5000, 0.5000)
Pt (0.5544, 0.2201, 0.0560)
Pt (0.7799, 0.9440, 0.4456)
Pt (0.9440, 0.4456, 0.7799)

(9)
Density functional theory data (meta-GGA SCAN) for a PBEsol-optimized structure of La2Pt.

Output
E_tot   -53.126 eV per atom
Crystal system   orthorhombic

a b c (Å): 3.9506 12.3249 6.9945
angles (deg): 90.00 90.00 90.00
Sites, in units of the cell vectors:
La (0.0000, 0.0163, 0.0000)
La (0.0000, 0.2886, 0.2079)
La (0.0000, 0.7114, 0.7079)
La (0.0000, 0.9837, 0.5000)
La (0.5000, 0.2114, 0.7079)
La (0.5000, 0.4837, 0.5000)
La (0.5000, 0.5163, 0.0000)
La (0.5000, 0.7886, 0.2079)
Pt (0.0000, 0.3839, 0.7784)
Pt (0.0000, 0.6161, 0.2784)
Pt (0.5000, 0.1161, 0.2784)
Pt (0.5000, 0.8839, 0.7784)

(10)
Density functional theory data (meta-GGA SCAN) for a PBEsol-optimized structure of La2Pt.

Output
E_tot   -53.081 eV per atom
Crystal system   orthorhombic

a b c (Å): 6.7832 6.9109 4.1685
angles (deg): 90.00 90.00 90.00
Sites, in units of the cell vectors:
La (0.1417, 0.2481, 0.0000)
La (0.3583, 0.7481, 0.5000)
La (0.6417, 0.2519, 0.5000)
La (0.8583, 0.7519, 0.0000)
Pt (0.0000, 0.5000, 0.5000)
Pt (0.5000, 0.0000, 0.0000)

(11)
Density functional theory data (meta-GGA SCAN) for a PBEsol-optimized structure of LaPt2.

Output
E_tot   -62.373 eV per atom
Crystal system   orthorhombic

a b c (Å): 4.3130 10.0154 5.6941
angles (deg): 90.00 90.00 90.00
Sites, in units of the cell vectors:
La (0.0000, 0.1920, 0.2500)
La (0.0000, 0.8080, 0.7500)
La (0.5000, 0.3080, 0.7500)
La (0.5000, 0.6920, 0.2500)
Pt (0.0000, 0.0959, 0.7500)
Pt (0.0000, 0.5000, 0.0000)
Pt (0.0000, 0.5000, 0.5000)
Pt (0.0000, 0.9041, 0.2500)
Pt (0.5000, 0.0000, 0.0000)
Pt (0.5000, 0.0000, 0.5000)
Pt (0.5000, 0.4041, 0.2500)
Pt (0.5000, 0.5959, 0.7500)

(12)
Density functional theory data (meta-GGA SCAN) for a PBEsol-optimized structure of La7Pt3.

Output
E_tot   -52.184 eV per atom
Crystal system   hexagonal

a b c (Å): 10.1890 10.1890 6.4353
angles (deg): 90.00 90.00 120.00
Sites, in units of the cell vectors:
La (0.0727, 0.5363, 0.0000)
La (0.1263, 0.2525, 0.7041)
La (0.1263, 0.8737, 0.7041)
La (0.2525, 0.1263, 0.2041)
La (0.3333, 0.6667, 0.4842)
La (0.4637, 0.5363, 0.0000)
La (0.4637, 0.9273, 0.0000)
La (0.5363, 0.0727, 0.5000)
La (0.5363, 0.4637, 0.5000)
La (0.6667, 0.3333, 0.9842)
La (0.7475, 0.8737, 0.7041)
La (0.8737, 0.1263, 0.2041)
La (0.8737, 0.7475, 0.2041)
La (0.9273, 0.4637, 0.5000)
Pt (0.1882, 0.3764, 0.2472)
Pt (0.1882, 0.8118, 0.2472)
Pt (0.3764, 0.1882, 0.7472)
Pt (0.6236, 0.8118, 0.2472)
Pt (0.8118, 0.1882, 0.7472)
Pt (0.8118, 0.6236, 0.7472)

The records above give, respectively, volume values of 19.7; 32.8; 33.0; 20.7; 28.8; 24.1; 19.9; 22.3; 28.4; 32.6; 20.5; 28.9 A^3/atom.
The records above give, respectively, spin magnetization values of 0.00; 0.00; 0.00; 0.00; 0.05; 0.00; 0.00; 0.00; 0.00; 0.02; 0.00; 0.00 μB per cell.